No. 1
TiTcSbI2 | PBE | relaxed

Calculated values
Energy relative to the elements, uncorrected, kJ per mole of atoms: 83.2
Total magnetic moment, μB/f.u.: 5.53

Lattice parameters (Å, degrees): 5.384 5.384 5.601 90.00 90.00 90.00
Space group P4/mmm (No. 123)
Asymmetric unit:
Ti 0.000 0.000 0.000 (multiplicity 1)
Tc 0.500 0.500 0.500 (multiplicity 1)
Sb 0.000 0.000 0.500 (multiplicity 1)
I 0.000 0.500 0.000 (multiplicity 2)


No. 2
LaPm5In2 | PBE | relaxed

Calculated values
Energy, eV per atom: -4.548
Total magnetic moment, μB/f.u.: 0.00

Lattice parameters (Å, degrees): 7.023 14.043 4.991 90.00 90.00 90.00
Space group Pbam (No. 55)
Asymmetric unit:
La 0.000 0.000 0.000 (multiplicity 2)
Pm 0.000 0.500 0.000 (multiplicity 2)
Pm 0.006 0.251 0.000 (multiplicity 4)
Pm 0.250 0.374 0.500 (multiplicity 4)
In 0.245 0.626 0.500 (multiplicity 4)


No. 3
TiNiPd6 | PBE | relaxed

Calculated values
Energy, eV per atom: -5.914
Total magnetic moment, μB/f.u.: 1.15

Lattice parameters (Å, degrees): 7.802 7.810 3.898 90.00 90.00 90.00
Space group Cmmm (No. 65)
Asymmetric unit:
Ti 0.000 0.000 0.000 (multiplicity 2)
Ni 0.000 0.500 0.000 (multiplicity 2)
Pd 0.000 0.250 0.500 (multiplicity 4)
Pd 0.250 0.000 0.500 (multiplicity 4)
Pd 0.250 0.250 0.000 (multiplicity 4)


No. 4
In2CuTc | PBE | relaxed

Calculated values
Energy, eV per atom: -4.796
Total magnetic moment, μB/f.u.: 0.00

Lattice parameters (Å, degrees): 4.490 4.490 3.426 90.00 90.00 90.00
Space group P4/mmm (No. 123)
Asymmetric unit:
In 0.000 0.500 0.000 (multiplicity 2)
Cu 0.000 0.000 0.500 (multiplicity 1)
Tc 0.500 0.500 0.500 (multiplicity 1)


No. 5
Ba3Hg7Pd2 | PBE | relaxed

Calculated values
Energy, eV per atom: -1.973
Total magnetic moment, μB/f.u.: 0.00

Lattice parameters (Å, degrees): 4.939 4.804 15.318 90.00 99.20 90.00
Space group P2/m (No. 10)
Asymmetric unit:
Ba 0.000 0.000 0.000 (multiplicity 1)
Ba 0.327 0.500 0.652 (multiplicity 2)
Hg 0.085 0.500 0.169 (multiplicity 2)
Hg 0.222 0.000 0.445 (multiplicity 2)
Hg 0.417 0.000 0.832 (multiplicity 2)
Hg 0.500 0.500 0.000 (multiplicity 1)
Pd 0.131 0.000 0.264 (multiplicity 2)


No. 6
NaZn2Fe2 | PBE | relaxed

Calculated values
Energy, eV per atom: -3.998
Total magnetic moment, μB/f.u.: 4.43

Lattice parameters (Å, degrees): 7.628 7.628 2.583 90.00 90.00 90.00
Space group P4/mbm (No. 127)
Asymmetric unit:
Na 0.000 0.000 0.000 (multiplicity 2)
Zn 0.183 0.317 0.500 (multiplicity 4)
Fe 0.109 0.609 0.000 (multiplicity 4)


No. 7
Hf4ZrTl | PBE | relaxed

Calculated values
Energy, eV per atom: -8.403
Total magnetic moment, μB/f.u.: 0.00

Lattice parameters (Å, degrees): 5.545 6.399 7.704 90.00 90.91 90.00
Space group P2_1/m (No. 11)
Asymmetric unit:
Hf 0.002 0.250 0.499 (multiplicity 2)
Hf 0.163 0.501 0.159 (multiplicity 4)
Hf 0.321 0.250 0.839 (multiplicity 2)
Zr 0.330 0.750 0.840 (multiplicity 2)
Tl 0.500 0.000 0.500 (multiplicity 2)


No. 8
Nd2BeGa3Pd4 | PBE | relaxed

Calculated values
Energy, eV per atom: -5.030
Total magnetic moment, μB/f.u.: 0.00

Lattice parameters (Å, degrees): 4.336 4.336 10.001 90.00 90.00 90.00
Space group P-4m2 (No. 115)
Asymmetric unit:
Nd 0.000 0.500 0.246 (multiplicity 2)
Be 0.500 0.500 0.000 (multiplicity 1)
Ga 0.000 0.000 0.000 (multiplicity 1)
Ga 0.000 0.500 0.634 (multiplicity 2)
Pd 0.000 0.000 0.500 (multiplicity 1)
Pd 0.000 0.500 0.884 (multiplicity 2)
Pd 0.500 0.500 0.500 (multiplicity 1)


No. 9
Mn2IrAu | PBE | relaxed

Calculated values
Energy, eV per atom: -7.330
Total magnetic moment, μB/f.u.: 6.60

Lattice parameters (Å, degrees): 2.880 4.648 9.037 90.00 90.00 90.00
Space group Cmm2 (No. 35)
Asymmetric unit:
Mn 0.000 0.000 0.000 (multiplicity 2)
Mn 0.000 0.500 0.233 (multiplicity 2)
Ir 0.000 0.500 0.774 (multiplicity 2)
Au 0.000 0.000 0.491 (multiplicity 2)


No. 10
Y6AlSe3S2 | PBE | relaxed

Calculated values
Energy relative to the elements, uncorrected, kJ per mole of atoms: -154.4
Total magnetic moment, μB/f.u.: 0.00

Lattice parameters (Å, degrees): 17.877 3.962 8.310 90.00 104.42 90.00
Space group C2/m (No. 12)
Asymmetric unit:
Y 0.004 0.000 0.253 (multiplicity 4)
Y 0.165 0.500 0.094 (multiplicity 4)
Y 0.171 0.500 0.571 (multiplicity 4)
Al 0.000 0.500 0.000 (multiplicity 2)
Se 0.000 0.500 0.500 (multiplicity 2)
Se 0.168 0.000 0.829 (multiplicity 4)
S 0.169 0.000 0.336 (multiplicity 4)


Repeat the sixth record exactly.
NaZn2Fe2 | PBE | relaxed

Calculated values
Energy, eV per atom: -3.998
Total magnetic moment, μB/f.u.: 4.43

Lattice parameters (Å, degrees): 7.628 7.628 2.583 90.00 90.00 90.00
Space group P4/mbm (No. 127)
Asymmetric unit:
Na 0.000 0.000 0.000 (multiplicity 2)
Zn 0.183 0.317 0.500 (multiplicity 4)
Fe 0.109 0.609 0.000 (multiplicity 4)